[1]
K2CaZrP | PBE-GGA | relaxed

The value obtained for the energy relative to the elements is 0.61 eV/atom. For the density of states at the Fermi level, the calculation gives 6.88 states/eV/f.u.

It has space group P4/mmm (No. 123), with a = 6.1964 Å, b = 6.1964 Å, c = 5.5002 Å, α = 90.00°, β = 90.00° and γ = 90.00°. Symmetry generates all atoms from K at (0.0000, 0.5000, 0.0000), Ca at (0.0000, 0.0000, 0.5000), Zr at (0.5000, 0.5000, 0.5000) and P at (0.0000, 0.0000, 0.0000).

[2]
K2CaPaS4 | PBE-GGA | relaxed

The calculation puts the formation energy without anion corrections at -1680 meV/atom. For the density of states at the Fermi level, the calculation gives 5.91 states/eV/f.u.

It has space group P2/m (No. 10), with a = 7.1503 Å, b = 4.1311 Å, c = 7.7246 Å, α = 90.00°, β = 107.83° and γ = 90.00°. Symmetry generates all atoms from K at (0.0000, 0.0000, 0.0000), K at (0.5000, 0.5000, 0.0000), Ca at (0.0000, 0.5000, 0.5000), Pa at (0.5000, 0.0000, 0.5000), S at (0.2501, 0.0000, 0.7020) and S at (0.2762, 0.5000, 0.2966).

[3]
K3Ca2PaS6 | PBE-GGA | relaxed

The calculation puts the formation energy without anion corrections at -1752 meV/atom. For the density of states at the Fermi level, the calculation gives 0.00 states/eV/f.u.

It has space group C2/m (No. 12), with a = 7.1423 Å, b = 12.3674 Å, c = 7.7035 Å, α = 90.00°, β = 108.03° and γ = 90.00°. Symmetry generates all atoms from K at (0.0000, 0.0000, 0.0000), K at (0.0000, 0.3288, 0.0000), Ca at (0.0000, 0.1664, 0.5000), Pa at (0.0000, 0.5000, 0.5000), S at (0.2238, 0.3436, 0.7022) and S at (0.2442, 0.5000, 0.2977).

[4]
K2CaPaTe4 | PBE-GGA | relaxed

The calculation puts the formation energy without anion corrections at -1190 meV/atom. For the density of states at the Fermi level, the calculation gives 5.54 states/eV/f.u.

It has space group P2/m (No. 10), with a = 7.9355 Å, b = 4.5927 Å, c = 8.6159 Å, α = 90.00°, β = 107.73° and γ = 90.00°. Symmetry generates all atoms from K at (0.0000, 0.0000, 0.0000), K at (0.5000, 0.5000, 0.0000), Ca at (0.0000, 0.5000, 0.5000), Pa at (0.5000, 0.0000, 0.5000), Te at (0.2486, 0.0000, 0.7099) and Te at (0.2721, 0.5000, 0.2899).

[5]
K3Ca2PaTe6 | PBE-GGA | relaxed

The calculation puts the formation energy without anion corrections at -1272 meV/atom.

It has space group C2/m (No. 12), with a = 7.9251 Å, b = 13.7256 Å, c = 8.6112 Å, α = 90.00°, β = 107.89° and γ = 90.00°. Symmetry generates all atoms from K at (0.0000, 0.0000, 0.0000), K at (0.0000, 0.3289, 0.0000), Ca at (0.0000, 0.1662, 0.5000), Pa at (0.0000, 0.5000, 0.5000), Te at (0.2281, 0.3416, 0.7093) and Te at (0.2455, 0.5000, 0.2901).

[6]
KCaPb | PBE-GGA | relaxed

The value obtained for the energy relative to the elements is -0.21 eV/atom. Its energy above the most stable polymorph in this dataset is 0.0000 eV per atom. For the density of states at the Fermi level, the calculation gives 1.15 states/eV/f.u.

It has space group I4mm (No. 107), with a = 3.8889 Å, b = 3.8889 Å, c = 16.1899 Å, α = 90.00°, β = 90.00° and γ = 90.00°. Symmetry generates all atoms from K at (0.0000, 0.0000, 0.0000), Ca at (0.0000, 0.0000, 0.7295) and Pb at (0.0000, 0.0000, 0.3447).